{
  "formula": "AlTl3Au",
  "functional": "PBE",
  "state": "relaxed",
  "e_above_lowest_polymorph_ev_per_fu": 0.00,
  "final_energy_ev_per_atom": -2.46,
  "cell": [[-5.038, -0.363, 1.887], [1.921, -0.828, 4.969], [-0.045, 5.315, 0.903]],
  "species": ["Al", "Au", "Tl", "Tl", "Tl"],
  "frac_coords": [[0.000, 0.000, 0.000], [0.500, 0.500, 0.500], [0.000, 0.000, 0.500], [0.500, 0.000, 0.000], [0.000, 0.500, 0.000]]
}



{
  "formula": "NaTl3H",
  "functional": "PBE",
  "state": "relaxed",
  "final_energy_ev_per_atom": -2.20,
  "cell": [[5.007, 0.000, 0.000], [0.000, 5.007, 0.000], [0.000, 0.000, 5.007]],
  "species": ["Tl", "Tl", "Tl", "H", "Na"],
  "frac_coords": [[0.000, 0.000, 0.500], [0.000, 0.500, 0.000], [0.500, 0.000, 0.000], [0.000, 0.000, 0.000], [0.500, 0.500, 0.500]]
}



{
  "formula": "ScCdIr2",
  "functional": "PBE",
  "state": "relaxed",
  "final_energy_ev_per_atom": -6.51,
  "cell": [[4.130, 0.000, 0.000], [0.000, 2.917, 0.005], [0.000, 2.897, 5.633]],
  "species": ["Cd", "Sc", "Ir", "Ir"],
  "frac_coords": [[0.500, 0.734, 0.766], [0.000, 0.526, 0.473], [0.000, 0.997, 0.004], [0.500, 0.243, 0.257]]
}



{
  "formula": "Hg2RhAu",
  "functional": "PBE",
  "state": "relaxed",
  "final_energy_ev_per_atom": -2.73,
  "cell": [[-1.935, -1.941, 3.303], [-2.498, -2.167, -2.736], [2.718, -2.953, -0.143]],
  "species": ["Hg", "Hg", "Au", "Rh"],
  "frac_coords": [[0.500, 0.000, 0.000], [0.000, 0.500, 0.000], [0.500, 0.500, 0.500], [0.000, 0.000, 0.500]]
}



{
  "formula": "SiTe2O",
  "functional": "PBE",
  "state": "relaxed",
  "e_above_lowest_polymorph_ev_per_fu": 0.00,
  "final_energy_ev_per_atom": -4.12,
  "e_form_raw_ev_per_atom": 0.043,
  "cell": [[0.850, 6.743, 3.567], [3.817, 6.591, 0.952], [0.196, 7.670, -0.226]],
  "species": ["Te", "Te", "O", "Si"],
  "frac_coords": [[0.907, 0.907, 0.907], [0.093, 0.093, 0.093], [0.000, 0.000, 0.000], [0.500, 0.500, 0.500]]
}



{
  "formula": "TbMgSi2",
  "functional": "PBE",
  "state": "relaxed",
  "e_above_lowest_polymorph_ev_per_fu": 0.00,
  "final_energy_ev_per_atom": -4.71,
  "e_form_raw_ev_per_atom": -0.447,
  "cell": [[-0.270, 2.004, -3.182], [5.298, -4.806, -3.477], [-7.893, -6.309, -3.306]],
  "species": ["Si", "Si", "Si", "Si", "Si", "Si", "Si", "Si", "Tb", "Tb", "Tb", "Tb", "Mg", "Mg", "Mg", "Mg"],
  "frac_coords": [[0.250, 0.165, 0.182], [0.250, 0.253, 0.556], [0.750, 0.335, 0.682], [0.750, 0.247, 0.056], [0.250, 0.753, 0.944], [0.250, 0.665, 0.318], [0.750, 0.747, 0.444], [0.750, 0.835, 0.818], [0.250, 0.628, 0.646], [0.750, 0.872, 0.146], [0.250, 0.128, 0.854], [0.750, 0.372, 0.354], [0.250, 0.996, 0.391], [0.250, 0.496, 0.109], [0.750, 0.504, 0.891], [0.750, 0.004, 0.609]]
}